Here is crystalline Pm3ThTe6 at its relaxed geometry from Alexandria. Energies are from PBE.

For the formation energy (no corrections), the calculation gives -1174 meV per atom. The calculation puts the raw total energy at -5.23 eV/atom. As for the density of states at the Fermi level: 7.63 states/eV/cell. For the theoretical density, the calculation gives 6.08 g/cm³.

abc: 13.8653 8.9012 7.5211
angles: 90.00 122.47 90.00
With the nearest neighbours (Å) after each atom.
Space group C2/m (No. 12)
Unique sites:
Pm (0.0000, 0.0000, 0.0000) [2 per cell]  6 Te 3.08-3.24
Pm (0.2504, 0.0000, 0.8370) [4 per cell]  5 Te 3.10-3.19
Th (0.0000, 0.5000, 0.5000) [2 per cell]  6 Te 3.09-3.17
Te (0.0863, 0.2498, 0.8358) [8 per cell]  3 Pm 3.08-3.19, 1 Th 3.09
Te (0.2477, 0.5000, 0.5737) [4 per cell]  2 Pm 3.10-3.24, 1 Th 3.17